# CaTiNi2

A geometry-optimized CaTiNi2 structure (PBE, Alexandria).

Structure (POSCAR):
```
CaTiNi2
1.0
-1.508 1.409 6.680
5.690 -3.521 2.027
3.698 1.447 4.188
Ni Ti Ca
4 2 2
Cartesian
4.372 -1.737 2.794
6.735 -0.950 10.868
4.040 0.480 6.299
0.613 0.877 5.830
2.141 0.900 7.611
0.000 0.000 0.000
2.091 -1.056 4.353
5.740 -1.565 5.284
```

Output
M_tot: 0.0000 μB per atom
space-group type: I-42d, No. 122
energy above the most stable polymorph in this dataset: 477.7 meV/atom
theoretical density: 4.68 Mg/m³